[1]
# Ga5Pb3Au12 (PBE, relaxed)
data_Ga5Pb3Au12
_chemical_formula_sum 'Ga40 Pb24 Au96'
_space_group_name_H-M_alt 'I a -3 d'
_space_group_IT_number 230
_space_group_name_Hall '-I 4bd 2c 3'
_cell_length_a 15.8146
_cell_length_b 15.8146
_cell_length_c 15.8146
_cell_angle_alpha 90.00
_cell_angle_beta 90.00
_cell_angle_gamma 90.00
loop_
_atom_site_label
_atom_site_fract_x
_atom_site_fract_y
_atom_site_fract_z
Ga1 0.0000 0.0000 0.0000
Ga2 0.0000 0.2500 0.3750
Pb1 0.0000 0.2500 0.1250
Au1 0.0235 0.0688 0.6463
# - Crystal system: cubic
# - ΔE_f: 0.062 eV per atom
# - Fermi-level density of states: 9.18 states/eV/f.u.

---

[2]
# CaAc3Pm (PBE, relaxed)
data_CaAc3Pm
_chemical_formula_sum 'Ca8 Ac24 Pm8'
_space_group_name_H-M_alt 'C m c e'
_space_group_IT_number 64
_space_group_name_Hall '-C 2ac 2'
_cell_length_a 14.5159
_cell_length_b 14.6720
_cell_length_c 8.1480
_cell_angle_alpha 90.00
_cell_angle_beta 90.00
_cell_angle_gamma 90.00
loop_
_atom_site_label
_atom_site_fract_x
_atom_site_fract_y
_atom_site_fract_z
Ca1 0.2500 0.0003 0.2500
Ac1 0.0000 0.0952 0.1312
Ac2 0.1451 0.2470 0.8801
Pm1 0.0000 0.0984 0.6122
# - Crystal system: orthorhombic
# - Energy above the lowest structure with this stoichiometry: 0.000 eV per formula unit
# - ΔE_f: 0.150 eV per atom
# - Fermi-level density of states: 5.94 states/eV/f.u.

---

[3]
# SrLi6Bi4 (PBE, relaxed)
data_SrLi6Bi4
_chemical_formula_sum 'Sr1 Li6 Bi4'
_space_group_name_H-M_alt 'P -6 m 2'
_space_group_IT_number 187
_space_group_name_Hall 'P -6 2'
_cell_length_a 8.1760
_cell_length_b 8.1760
_cell_length_c 4.6547
_cell_angle_alpha 90.00
_cell_angle_beta 90.00
_cell_angle_gamma 120.00
loop_
_atom_site_label
_atom_site_fract_x
_atom_site_fract_y
_atom_site_fract_z
Sr1 0.0000 0.0000 0.0000
Li1 0.2157 0.4315 0.5000
Li2 0.5332 0.0664 0.0000
Bi1 0.3333 0.6667 0.0000
Bi2 0.3795 0.1897 0.5000
# - Crystal system: hexagonal
# - ΔE_f: -0.461 eV per atom
# - Fermi-level density of states: 6.56 states/eV/f.u.

---

[4]
# CaYTa (PBE, relaxed)
data_CaYTa
_chemical_formula_sum 'Ca2 Y2 Ta2'
_space_group_name_H-M_alt 'I m m 2'
_space_group_IT_number 44
_cell_length_a 3.2085
_cell_length_b 4.6355
_cell_length_c 10.8929
_cell_angle_alpha 90.00
_cell_angle_beta 90.00
_cell_angle_gamma 90.00
loop_
_space_group_symop_operation_xyz
'x,y,z'
'-x,-y,z'
'-x,y,z'
'x,-y,z'
'x+1/2,y+1/2,z+1/2'
'-x+1/2,-y+1/2,z+1/2'
'-x+1/2,y+1/2,z+1/2'
'x+1/2,-y+1/2,z+1/2'
loop_
_atom_site_label
_atom_site_fract_x
_atom_site_fract_y
_atom_site_fract_z
Ca1 0.0000 0.0000 0.0000
Y1 0.0000 0.0000 0.6976
Ta1 0.0000 0.0000 0.3220
# - Crystal system: orthorhombic
# - Energy above the lowest structure with this stoichiometry: 0.401 eV per formula unit
# - ΔE_f: 0.598 eV per atom
# - Fermi-level density of states: 4.39 states/eV/f.u.

---

[5]
# NbRuN3 (PBE, relaxed)
data_NbRuN3
_chemical_formula_sum 'Nb1 Ru1 N3'
_space_group_name_H-M_alt 'P m -3 m'
_space_group_IT_number 221
_space_group_name_Hall '-P 4 2 3'
_cell_length_a 4.0341
_cell_length_b 4.0341
_cell_length_c 4.0341
_cell_angle_alpha 90.00
_cell_angle_beta 90.00
_cell_angle_gamma 90.00
loop_
_atom_site_label
_atom_site_fract_x
_atom_site_fract_y
_atom_site_fract_z
Nb1 0.0000 0.0000 0.0000
Ru1 0.5000 0.5000 0.5000
N1 0.0000 0.0000 0.5000
# - Crystal system: cubic
# - Formation energy (no corrections): 1.16 eV per atom
# - Fermi-level density of states: 5.63 states/eV/f.u.

---

[6]
# VZn2GaHg (PBE, relaxed)
data_VZn2GaHg
_chemical_formula_sum 'V1 Zn2 Ga1 Hg1'
_space_group_name_H-M_alt 'P 4/m m m'
_space_group_IT_number 123
_space_group_name_Hall '-P 4 2'
_cell_length_a 4.8069
_cell_length_b 4.8069
_cell_length_c 5.1986
_cell_angle_alpha 90.00
_cell_angle_beta 90.00
_cell_angle_gamma 90.00
loop_
_atom_site_label
_atom_site_fract_x
_atom_site_fract_y
_atom_site_fract_z
V1 0.0000 0.0000 0.0000
Zn1 0.0000 0.5000 0.5000
Ga1 0.5000 0.5000 0.0000
Hg1 0.0000 0.0000 0.5000
# - Crystal system: tetragonal
# - ΔE_f: 1.026 eV per atom
# - Fermi-level density of states: 3.56 states/eV/f.u.

---

[7]
# PrRhI (PBE, relaxed)
data_PrRhI
_chemical_formula_sum 'Pr16 Rh16 I16'
_space_group_name_H-M_alt 'F m m m'
_space_group_IT_number 69
_space_group_name_Hall '-F 2 2'
_cell_length_a 4.6098
_cell_length_b 16.1448
_cell_length_c 24.8406
_cell_angle_alpha 90.00
_cell_angle_beta 90.00
_cell_angle_gamma 90.00
loop_
_atom_site_label
_atom_site_fract_x
_atom_site_fract_y
_atom_site_fract_z
Pr1 0.0000 0.1482 0.0848
Rh1 0.0000 0.0000 0.0504
Rh2 0.0000 0.2245 0.5000
I1 0.0000 0.1416 0.3278
# - Crystal system: orthorhombic
# - Formation energy (no corrections): -0.49 eV per atom
# - Fermi-level density of states: 1.12 states/eV/f.u.

---

[8]
# BaH4Pd5 (PBE, relaxed)
data_BaH4Pd5
_chemical_formula_sum 'Ba2 H8 Pd10'
_space_group_name_H-M_alt 'P m m n'
_space_group_IT_number 59
_cell_length_a 6.1617
_cell_length_b 8.6557
_cell_length_c 4.8415
_cell_angle_alpha 90.00
_cell_angle_beta 90.00
_cell_angle_gamma 90.00
loop_
_space_group_symop_operation_xyz
'x,y,z'
'-x,-y,-z'
'-x+1/2,-y+1/2,z'
'x+1/2,y+1/2,-z'
'x+1/2,-y,-z'
'-x+1/2,y,z'
'-x,y+1/2,-z'
'x,-y+1/2,z'
loop_
_atom_site_label
_atom_site_fract_x
_atom_site_fract_y
_atom_site_fract_z
Ba1 0.2500 0.2500 0.2351
H1 0.0873 0.7500 0.4228
H2 0.2500 0.5204 0.7964
Pd1 0.0156 0.5792 0.2462
Pd2 0.2500 0.7500 0.7558
# - Crystal system: orthorhombic
# - Fermi-level density of states: 3.12 states/eV/f.u.

---

These records have total energy values of -3.217, -3.666, -3.070, -6.175, -7.705, -1.973, -5.045, -4.295 eV/atom, in the order they appear.